No. 1
A plane-wave DFT calculation with PBE was carried out for crystalline LaEr3Tm6 at its relaxed geometry.

The formation energy is 0.14 eV per atom. The value obtained for the volume is 31.50 Å³/atom. The value obtained for the polymorph energy (0 for the lowest one) is 0.000 eV/f.u. The magnetization comes out at 0.000 μB/atom.

It has space group Cmc2_1 (No. 36), with a = 9.367 Å, b = 15.215 Å, c = 8.840 Å, α = 90.00°, β = 90.00° and γ = 90.00°. Symmetry generates all atoms from La at (0.000, 0.225, 0.000), Er at (0.000, 0.453, 0.904), Er at (0.172, 0.141, 0.423), Tm at (0.000, 0.052, 0.776), Tm at (0.000, 0.288, 0.632), Tm at (0.178, 0.351, 0.265) and Tm at (0.247, 0.058, 0.093).

---

No. 2
A plane-wave DFT calculation with PBE was carried out for crystalline La7Er3Tm at its relaxed geometry.

The formation energy is 0.22 eV per atom. The value obtained for the volume is 35.92 Å³/atom. The value obtained for the polymorph energy (0 for the lowest one) is 1.195 eV/f.u. The magnetization comes out at 0.000 μB/atom.

It has space group C2/m (No. 12), with a = 12.834 Å, b = 11.600 Å, c = 5.998 Å, α = 90.00°, β = 117.76° and γ = 90.00°. Symmetry generates all atoms from La at (0.000, 0.000, 0.000), La at (0.191, 0.286, 0.691), La at (0.209, 0.500, 0.207), Er at (0.000, 0.295, 0.000), Er at (0.000, 0.500, 0.500) and Tm at (0.000, 0.000, 0.500).

---

No. 3
A plane-wave DFT calculation with PBE was carried out for crystalline La2Er2Tm at its relaxed geometry.

The formation energy is 0.04 eV per atom. The value obtained for the volume is 33.03 Å³/atom. The value obtained for the polymorph energy (0 for the lowest one) is 0.060 eV/f.u. The magnetization comes out at 0.000 μB/atom.

It has space group C2/m (No. 12), with a = 11.298 Å, b = 5.103 Å, c = 8.034 Å, α = 90.00°, β = 134.50° and γ = 90.00°. Symmetry generates all atoms from La at (0.099, 0.000, 0.302), Er at (0.198, 0.500, 0.095) and Tm at (0.000, 0.500, 0.500).

---

No. 4
A plane-wave DFT calculation with PBE was carried out for crystalline LaEr5Tm3 at its relaxed geometry.

The formation energy is 0.34 eV per atom. The value obtained for the volume is 32.34 Å³/atom. The value obtained for the polymorph energy (0 for the lowest one) is 0.000 eV/f.u. The magnetization comes out at 0.000 μB/atom.

It has space group C2/c (No. 15), with a = 19.063 Å, b = 5.990 Å, c = 11.085 Å, α = 90.00°, β = 113.09° and γ = 90.00°. Symmetry generates all atoms from La at (0.000, 0.146, 0.250), Er at (0.000, 0.368, 0.750), Er at (0.164, 0.257, 0.694), Er at (0.170, 0.257, 0.030), Tm at (0.000, 0.000, 0.000) and Tm at (0.177, 0.233, 0.363).

---

No. 5
A plane-wave DFT calculation with PBE was carried out for crystalline La2Er5Tm12 at its relaxed geometry.

The formation energy is 0.14 eV per atom. The value obtained for the volume is 31.74 Å³/atom. The value obtained for the polymorph energy (0 for the lowest one) is 1.542 eV/f.u. The magnetization comes out at 0.000 μB/atom.

It has space group C2/m (No. 12), with a = 15.708 Å, b = 9.143 Å, c = 8.400 Å, α = 90.00°, β = 91.02° and γ = 90.00°. Symmetry generates all atoms from La at (0.000, 0.193, 0.000), Er at (0.000, 0.500, 0.500), Er at (0.196, 0.000, 0.005), Er at (0.235, 0.500, 0.580), Tm at (0.056, 0.000, 0.325), Tm at (0.098, 0.500, 0.883), Tm at (0.126, 0.192, 0.646) and Tm at (0.160, 0.319, 0.248).

---

No. 6
A plane-wave DFT calculation with PBE was carried out for crystalline La3Er4Tm4 at its relaxed geometry.

The formation energy is 0.03 eV per atom. The value obtained for the volume is 32.10 Å³/atom. The magnetization comes out at 0.000 μB/atom.

It has space group Immm (No. 71), with a = 3.583 Å, b = 5.012 Å, c = 39.329 Å, α = 90.00°, β = 90.00° and γ = 90.00°. Symmetry generates all atoms from La at (0.000, 0.000, 0.000), La at (0.000, 0.000, 0.363), Er at (0.000, 0.000, 0.184), Er at (0.000, 0.000, 0.453), Tm at (0.000, 0.000, 0.091) and Tm at (0.000, 0.000, 0.272).

---

No. 7
A plane-wave DFT calculation with PBE was carried out for crystalline La3ErTm at its relaxed geometry.

The formation energy is 0.07 eV per atom. The value obtained for the volume is 34.58 Å³/atom. The value obtained for the polymorph energy (0 for the lowest one) is 0.000 eV/f.u. The magnetization comes out at 0.000 μB/atom.

It has space group P2_1 (No. 4), with a = 5.877 Å, b = 6.093 Å, c = 10.089 Å, α = 90.00°, β = 106.87° and γ = 90.00°. Symmetry generates all atoms from La at (0.052, 0.000, 0.106), La at (0.249, 0.058, 0.499), La at (0.445, 0.121, 0.893), Er at (0.355, 0.609, 0.708) and Tm at (0.147, 0.511, 0.293).

---

No. 8
A plane-wave DFT calculation with PBE was carried out for crystalline La3ErTm12 at its relaxed geometry.

The formation energy is 0.04 eV per atom. The value obtained for the volume is 31.45 Å³/atom. The magnetization comes out at 0.000 μB/atom.

It has space group P4/mmm (No. 123), with a = 5.006 Å, b = 5.006 Å, c = 20.079 Å, α = 90.00°, β = 90.00° and γ = 90.00°. Symmetry generates all atoms from La at (0.000, 0.000, 0.000), La at (0.000, 0.000, 0.250), Er at (0.000, 0.000, 0.500), Tm at (0.000, 0.500, 0.126), Tm at (0.000, 0.500, 0.379), Tm at (0.500, 0.500, 0.000), Tm at (0.500, 0.500, 0.253) and Tm at (0.500, 0.500, 0.500).

---

No. 9
A plane-wave DFT calculation with PBE was carried out for crystalline LaErTm6 at its relaxed geometry.

The formation energy is 0.60 eV per atom. The value obtained for the volume is 34.81 Å³/atom. The value obtained for the polymorph energy (0 for the lowest one) is 4.528 eV/f.u. The magnetization comes out at 0.001 μB/atom.

It has space group R-3m (No. 166, hexagonal axes), with a = 8.6882 Å, b = 8.6882 Å, c = 12.7800 Å, α = 90.00°, β = 90.00° and γ = 120.00°. Symmetry generates all atoms from La at (0.0000, 0.0000, 0.0000), Er at (0.0000, 0.0000, 0.5000) and Tm at (0.0916, 0.5458, 0.3887).

---

No. 10
A plane-wave DFT calculation with PBE was carried out for crystalline LaEr4Tm at its relaxed geometry.

The formation energy is 0.14 eV per atom. The value obtained for the volume is 32.56 Å³/atom. The value obtained for the polymorph energy (0 for the lowest one) is 0.000 eV/f.u. The magnetization comes out at 0.000 μB/atom.

It has space group C2/c (No. 15), with a = 8.822 Å, b = 14.688 Å, c = 6.380 Å, α = 90.00°, β = 109.07° and γ = 90.00°. Symmetry generates all atoms from La at (0.000, 0.083, 0.250), Er at (0.094, 0.305, 0.534), Er at (0.209, 0.134, 0.881) and Tm at (0.000, 0.499, 0.750).

---

No. 11
A plane-wave DFT calculation with PBE was carried out for crystalline La2Er2Tm5 at its relaxed geometry.

The formation energy is 0.17 eV per atom. The value obtained for the volume is 32.57 Å³/atom. The value obtained for the polymorph energy (0 for the lowest one) is 0.000 eV/f.u. The magnetization comes out at 0.000 μB/atom.

It has space group C2/m (No. 12), with a = 20.135 Å, b = 3.474 Å, c = 8.565 Å, α = 90.00°, β = 101.92° and γ = 90.00°. Symmetry generates all atoms from La at (0.102, 0.000, 0.333), Er at (0.178, 0.500, 0.028), Tm at (0.000, 0.500, 0.000), Tm at (0.058, 0.500, 0.669) and Tm at (0.220, 0.500, 0.649).

---

No. 12
A plane-wave DFT calculation with PBE was carried out for crystalline LaEr12Tm7 at its relaxed geometry.

The formation energy is 0.72 eV per atom. The value obtained for the volume is 35.53 Å³/atom. The value obtained for the polymorph energy (0 for the lowest one) is 9.631 eV/f.u. The magnetization comes out at 0.000 μB/atom.

It has space group Im-3 (No. 204), with a = 11.243 Å, b = 11.243 Å, c = 11.243 Å, α = 90.00°, β = 90.00° and γ = 90.00°. Symmetry generates all atoms from La at (0.000, 0.000, 0.000), Er at (0.000, 0.264, 0.263), Tm at (0.000, 0.000, 0.500) and Tm at (0.250, 0.250, 0.250).